Entry 1:
# HoAl11Os (PBE-GGA, optimized geometry)
# Space group ... C2/m
# Calculated volume ... 219.8 Å³/cell
# Spin magnetization ... 0.00 μB per formula unit
# Calculated formation energy ... -5.11 kcal/mol of atoms
data_HoAl11Os
_cell_length_a 5.225
_cell_length_b 7.102
_cell_length_c 6.846
_cell_angle_alpha 82.28
_cell_angle_beta 67.57
_cell_angle_gamma 69.40
_space_group_name_H-M_alt 'P 1'
_space_group_IT_number 1
loop_
_space_group_symop_operation_xyz
'x,y,z'
loop_
_atom_site_label
_atom_site_fract_x
_atom_site_fract_y
_atom_site_fract_z
_atom_site_occupancy
Al1 0.500 0.778 0.215 1
Al2 0.639 0.359 0.346 1
Al3 0.000 0.000 0.500 1
Al4 0.715 0.778 0.785 1
Al5 0.015 0.641 0.346 1
Al6 0.361 0.641 0.654 1
Al7 0.285 0.222 0.215 1
Al8 0.500 0.222 0.785 1
Al9 0.000 0.500 0.000 1
Al10 0.500 0.000 0.500 1
Al11 0.985 0.359 0.654 1
Ho1 0.000 0.000 0.000 1
Os1 0.500 0.500 0.000 1

=====

Entry 2:
# Ho2AlOs (PBE-GGA, optimized geometry)
# Space group ... Fm-3m
# Calculated volume ... 84.1 Å³/cell
# Spin magnetization ... 0.00 μB per formula unit
# Calculated formation energy ... -6.74 kcal/mol of atoms
data_Ho2AlOs
_cell_length_a 4.918
_cell_length_b 4.918
_cell_length_c 4.918
_cell_angle_alpha 60.00
_cell_angle_beta 60.00
_cell_angle_gamma 60.00
_space_group_name_H-M_alt 'P 1'
_space_group_IT_number 1
loop_
_space_group_symop_operation_xyz
'x,y,z'
loop_
_atom_site_label
_atom_site_fract_x
_atom_site_fract_y
_atom_site_fract_z
_atom_site_occupancy
Al1 0.500 0.500 0.500 1
Ho1 0.250 0.250 0.250 1
Ho2 0.750 0.750 0.750 1
Os1 0.000 0.000 0.000 1

=====

Entry 3:
# Ho6AlOs2 (PBE-GGA, optimized geometry)
# Space group ... Immm
# Calculated volume ... 453.2 Å³/cell
# Spin magnetization ... 0.00 μB per formula unit
# Calculated formation energy ... -6.85 kcal/mol of atoms
data_Ho6AlOs2
_cell_length_a 8.406
_cell_length_b 8.406
_cell_length_c 8.406
_cell_angle_alpha 103.23
_cell_angle_beta 113.08
_cell_angle_gamma 112.28
_space_group_name_H-M_alt 'P 1'
_space_group_IT_number 1
loop_
_space_group_symop_operation_xyz
'x,y,z'
loop_
_atom_site_label
_atom_site_fract_x
_atom_site_fract_y
_atom_site_fract_z
_atom_site_occupancy
Ho1 0.200 0.756 0.956 1
Ho2 0.800 0.244 0.044 1
Ho3 0.800 0.756 0.556 1
Ho4 0.314 0.646 0.332 1
Ho5 0.200 0.244 0.444 1
Ho6 0.464 0.281 0.183 1
Ho7 0.314 0.982 0.668 1
Ho8 0.098 0.281 0.817 1
Ho9 0.902 0.719 0.183 1
Ho10 0.686 0.354 0.668 1
Ho11 0.536 0.719 0.817 1
Ho12 0.686 0.018 0.332 1
Al1 0.000 0.000 0.000 1
Al2 0.000 0.500 0.500 1
Os1 0.684 0.000 0.684 1
Os2 0.500 0.377 0.877 1
Os3 0.316 0.000 0.316 1
Os4 0.500 0.623 0.123 1

=====

Entry 4:
# Ho8Al2Os (PBE-GGA, optimized geometry)
# Space group ... C2/m
# Calculated volume ... 290.1 Å³/cell
# Spin magnetization ... 0.00 μB per formula unit
# Calculated formation energy ... -4.97 kcal/mol of atoms
data_Ho8Al2Os
_cell_length_a 5.166
_cell_length_b 6.882
_cell_length_c 9.125
_cell_angle_alpha 110.29
_cell_angle_beta 106.44
_cell_angle_gamma 90.00
_space_group_name_H-M_alt 'P 1'
_space_group_IT_number 1
loop_
_space_group_symop_operation_xyz
'x,y,z'
loop_
_atom_site_label
_atom_site_fract_x
_atom_site_fract_y
_atom_site_fract_z
_atom_site_occupancy
Ho1 0.984 0.216 0.968 1
Ho2 0.349 0.057 0.697 1
Ho3 0.201 0.281 0.401 1
Ho4 0.016 0.784 0.032 1
Ho5 0.404 0.575 0.808 1
Ho6 0.651 0.943 0.303 1
Ho7 0.596 0.425 0.192 1
Ho8 0.799 0.719 0.599 1
Al1 0.179 0.697 0.358 1
Al2 0.821 0.303 0.642 1
Os1 0.500 0.000 0.000 1

=====

Entry 5:
# Ho3Al3Os2 (PBE-GGA, optimized geometry)
# Space group ... Pnma
# Calculated volume ... 669.0 Å³/cell
# Spin magnetization ... 0.00 μB per formula unit
# Calculated formation energy ... -10.76 kcal/mol of atoms
data_Ho3Al3Os2
_cell_length_a 5.735
_cell_length_b 7.625
_cell_length_c 15.299
_cell_angle_alpha 90.00
_cell_angle_beta 90.00
_cell_angle_gamma 90.00
_space_group_name_H-M_alt 'P 1'
_space_group_IT_number 1
loop_
_space_group_symop_operation_xyz
'x,y,z'
loop_
_atom_site_label
_atom_site_fract_x
_atom_site_fract_y
_atom_site_fract_z
_atom_site_occupancy
Al1 0.405 0.662 0.534 1
Al2 0.119 0.171 0.250 1
Al3 0.881 0.829 0.750 1
Al4 0.619 0.329 0.750 1
Al5 0.381 0.671 0.250 1
Al6 0.405 0.662 0.966 1
Al7 0.095 0.162 0.534 1
Al8 0.095 0.162 0.966 1
Al9 0.595 0.338 0.034 1
Al10 0.595 0.338 0.466 1
Al11 0.905 0.838 0.034 1
Al12 0.905 0.838 0.466 1
Ho1 0.397 0.965 0.392 1
Ho2 0.134 0.172 0.750 1
Ho3 0.103 0.465 0.108 1
Ho4 0.897 0.535 0.892 1
Ho5 0.897 0.535 0.608 1
Ho6 0.366 0.672 0.750 1
Ho7 0.603 0.035 0.892 1
Ho8 0.866 0.828 0.250 1
Ho9 0.103 0.465 0.392 1
Ho10 0.397 0.965 0.108 1
Ho11 0.634 0.328 0.250 1
Ho12 0.603 0.035 0.608 1
Os1 0.373 0.367 0.892 1
Os2 0.627 0.633 0.392 1
Os3 0.627 0.633 0.108 1
Os4 0.873 0.133 0.108 1
Os5 0.127 0.867 0.892 1
Os6 0.127 0.867 0.608 1
Os7 0.873 0.133 0.392 1
Os8 0.373 0.367 0.608 1

=====

Entry 6:
# Ho3Al9Os2 (PBE-GGA, optimized geometry)
# Space group ... Immm
# Calculated volume ... 255.0 Å³/cell
# Spin magnetization ... 0.00 μB per formula unit
# Calculated formation energy ... -11.85 kcal/mol of atoms
data_Ho3Al9Os2
_cell_length_a 4.325
_cell_length_b 8.102
_cell_length_c 8.102
_cell_angle_alpha 72.09
_cell_angle_beta 74.52
_cell_angle_gamma 74.52
_space_group_name_H-M_alt 'P 1'
_space_group_IT_number 1
loop_
_space_group_symop_operation_xyz
'x,y,z'
loop_
_atom_site_label
_atom_site_fract_x
_atom_site_fract_y
_atom_site_fract_z
_atom_site_occupancy
Os1 0.500 0.330 0.670 1
Os2 0.500 0.670 0.330 1
Al1 0.351 0.009 0.288 1
Al2 0.000 0.500 0.500 1
Al3 0.873 0.411 0.843 1
Al4 0.873 0.843 0.411 1
Al5 0.127 0.157 0.589 1
Al6 0.351 0.288 0.009 1
Al7 0.649 0.991 0.712 1
Al8 0.127 0.589 0.157 1
Al9 0.649 0.712 0.991 1
Ho1 0.296 0.704 0.704 1
Ho2 0.704 0.296 0.296 1
Ho3 0.000 0.000 0.000 1